No. 1
MnCoOs2: relaxed, PBE.

Lattice parameters (Å, degrees): 4.4798 4.4798 4.6307 80.10 80.10 34.52
Last column: nearest neighbours and their distance in Å.
Fractional positions:
Co: 0.7500 0.7500 0.7500  6 Os 2.59-2.61, 2 Co 2.66, 4 Mn 2.67
Os: 0.5007 0.5007 0.5035  3 Co 2.59-2.61, 3 Mn 2.61-2.62, 6 Os 2.64-2.70
Os: 0.9993 0.9993 0.9965  3 Co 2.59-2.61, 3 Mn 2.61-2.62, 6 Os 2.64-2.70
Mn: 0.2500 0.2500 0.2500  6 Os 2.61-2.62, 2 Mn 2.66, 4 Co 2.67

## Properties
Mass density = 15.846 g cm⁻³
Energy = -9.552 eV/atom
Fermi-level density of states = 1.2631 states/eV per atom
Offset from the most stable computed form = 67.1 meV per atom


No. 2
InCoRe2: relaxed, PBE.

Lattice parameters (Å, degrees): 2.7688 2.7688 7.9254 90.00 90.00 90.00
Last column: nearest neighbours and their distance in Å.
Fractional positions:
Co: 0.5000 0.5000 0.2500  8 Re 2.60, 4 Co 2.77
Re: 0.0000 0.0000 0.0348  4 Co 2.60, 4 Re 2.77
In: 0.5000 0.5000 0.7500  4 In 2.77, 8 Re 2.99
Re: 0.0000 0.0000 0.4652  4 Co 2.60, 4 Re 2.77

## Properties
Mass density = 14.927 g cm⁻³
Energy = -8.200 eV/atom
Fermi-level density of states = 1.4092 states/eV per atom


No. 3
Pu7MnRh4: relaxed, PBE.

Lattice parameters (Å, degrees): 4.7968 11.6651 6.6174 124.08 68.75 78.14
Last column: nearest neighbours and their distance in Å.
Fractional positions:
Rh: 0.2242 0.3540 0.1975  2 Rh 2.78-2.79, 5 Pu 2.84-3.04
Pu: 0.0249 0.1525 0.7976  5 Rh 2.75-3.04, 1 Mn 2.76, 1 Pu 2.78
Pu: 0.9105 0.3918 0.7871  3 Pu 2.78-2.94, 3 Rh 2.84-2.98
Rh: 0.6168 0.1816 0.5849  1 Mn 2.63, 4 Pu 2.64-2.86, 1 Rh 2.79
Pu: 0.4336 0.6248 0.5081  3 Rh 2.64-2.91, 3 Pu 2.78-2.94
Mn: 0.0000 0.0000 0.0000  2 Pu 2.40, 2 Rh 2.63
Rh: 0.7758 0.6460 0.8025  2 Rh 2.78-2.79, 5 Pu 2.84-3.04
Pu: 0.0895 0.6082 0.2129  3 Pu 2.78-2.94, 3 Rh 2.84-2.98
Rh: 0.3832 0.8184 0.4151  1 Mn 2.63, 4 Pu 2.64-2.86, 1 Rh 2.79
Pu: 0.5664 0.3752 0.4919  3 Rh 2.64-2.91, 3 Pu 2.78-2.94
Pu: 0.5000 0.0000 0.0000  2 Mn 2.40
Pu: 0.9751 0.8475 0.2024  5 Rh 2.75-3.04, 1 Mn 2.76, 1 Pu 2.78

## Properties
Mass density = 14.890 g cm⁻³
Energy = -11.730 eV/atom
Fermi-level density of states = 3.6483 states/eV per atom


No. 4
CsW4Se8: relaxed, PBE.

Lattice parameters (Å, degrees): 3.4172 9.4117 9.3890 82.96 79.51 79.54
Last column: nearest neighbours and their distance in Å.
Fractional positions:
Se: 0.5575 0.6763 0.2088  3 W 2.49-2.65
Se: 0.8428 0.9990 0.3154  3 W 2.63-2.65
W: 0.3807 0.8041 0.4345  6 Se 2.49-2.65
W: 0.8282 0.5001 0.8435  6 Se 2.51-2.79
Se: 0.8968 0.6425 0.5640  3 W 2.50-2.79
Se: 0.1347 0.3608 0.3698  3 W 2.50-2.79
Cs: 0.5157 0.0017 0.9670  2 Cs 3.42, 10 Se 3.49-3.64
W: 0.2032 0.5034 0.0901  6 Se 2.51-2.79
Se: 0.2155 0.6935 0.8755  3 W 2.51-2.53
Se: 0.8159 0.3100 0.0581  3 W 2.51-2.52
Se: 0.1886 0.0043 0.6184  3 W 2.63-2.65
Se: 0.4740 0.3271 0.7249  3 W 2.49-2.65
W: 0.6507 0.1993 0.4993  6 Se 2.49-2.65

## Properties
Mass density = 8.567 g cm⁻³
Energy = -6.530 eV/atom
Fermi-level density of states = 0.5731 states/eV per atom


No. 5
YHfZrCu2: relaxed, PBE.

Lattice parameters (Å, degrees): 4.8460 5.1487 4.8460 90.00 90.00 90.00
Last column: nearest neighbours and their distance in Å.
Fractional positions:
Y: 0.0000 0.5000 0.0000  2 Zr 2.57
Hf: 0.5000 0.5000 0.5000  4 Y 3.43, 8 Cu 3.54
Zr: 0.0000 0.0000 0.0000  4 Cu 2.42, 2 Y 2.57
Cu: 0.0000 0.0000 0.5000  2 Zr 2.42
Cu: 0.5000 0.0000 0.0000  2 Zr 2.42

## Properties
Mass density = 6.671 g cm⁻³
Energy = -5.421 eV/atom
Fermi-level density of states = 0.9338 states/eV per atom


No. 6
NbSnPO2: relaxed, PBE.

Lattice parameters (Å, degrees): 3.8935 3.8935 5.5029 90.00 90.00 90.00
Last column: nearest neighbours and their distance in Å.
Fractional positions:
P: 0.0000 0.0000 0.5000  2 Sn 2.75, 4 Nb 2.75
Sn: 0.0000 0.0000 0.0000  4 O 1.95
O: 0.5000 0.0000 0.0000  2 Sn 1.95
Nb: 0.5000 0.5000 0.5000  4 P 2.75
O: 0.0000 0.5000 0.0000  2 Sn 1.95

## Properties
Mass density = 5.466 g cm⁻³
Energy = -6.121 eV/atom
Fermi-level density of states = 0.4509 states/eV per atom
Offset from the most stable computed form = 1030.5 meV per atom


No. 7
CaSn5Se7: relaxed, PBE.

Lattice parameters (Å, degrees): 4.1727 7.2126 24.7249 90.03 90.00 106.81
Last column: nearest neighbours and their distance in Å.
Fractional positions:
Se: 0.3643 0.7286 0.9634  6 Sn 2.95-3.14
Se: 0.3638 0.7276 0.5364  6 Sn 2.95-3.14
Sn: 0.7302 0.4605 0.9234  6 Se 2.81-3.08
Se: 0.5553 0.1106 0.7499  2 Sn 2.76, 2 Ca 2.94
Sn: 0.0001 0.0002 0.5001  6 Se 2.95-3.05
Sn: 0.4611 0.9221 0.8485  5 Se 2.76-3.00
Se: 0.4453 0.8906 0.2499  2 Sn 2.76, 2 Ca 2.93
Se: 0.8189 0.6379 0.8212  3 Sn 2.81-2.94, 2 Ca 3.14
Se: 0.1829 0.3658 0.1790  3 Sn 2.81-2.94
Se: 0.1813 0.3626 0.3213  3 Sn 2.81-2.94, 2 Ca 3.14
Sn: 0.2711 0.5421 0.0766  6 Se 2.81-3.08
Ca: 0.2048 0.4097 0.7507  6 Se 2.94-3.15
Se: 0.9016 0.8033 0.3895  5 Sn 2.89-3.05
Se: 0.8179 0.6357 0.6789  3 Sn 2.81-2.94
Se: 0.6363 0.2726 0.4634  6 Sn 2.95-3.14
Ca: 0.7958 0.5917 0.2511  6 Se 2.93-3.16
Sn: 0.7296 0.4593 0.5766  6 Se 2.81-3.08
Se: 0.0987 0.1973 0.8897  5 Sn 2.89-3.05
Se: 0.9036 0.8072 0.1093  5 Sn 2.89-3.02
Se: 0.6368 0.2737 0.0364  6 Sn 2.95-3.14
Se: 0.0971 0.1943 0.6094  5 Sn 2.89-3.02
Sn: 0.5407 0.0814 0.1516  5 Se 2.76-3.00
Sn: 0.4601 0.9202 0.6516  5 Se 2.76-3.00
Sn: 0.5392 0.0785 0.3485  5 Se 2.76-3.00
Sn: 0.0005 0.0011 0.0001  6 Se 2.95-3.05
Sn: 0.2702 0.5405 0.4234  6 Se 2.81-3.08

## Properties
Mass density = 5.531 g cm⁻³
Energy = -4.198 eV/atom
Fermi-level density of states = 0.4711 states/eV per atom


No. 8
Na3Tl2Sn3: relaxed, PBE.

Lattice parameters (Å, degrees): 4.7460 4.9948 9.8422 104.70 103.83 90.00
Last column: nearest neighbours and their distance in Å.
Fractional positions:
Sn: 0.3810 0.8800 0.7601  2 Sn 3.24-3.25, 6 Na 3.34-3.45, 4 Tl 3.41-3.43
Na: 0.8760 0.3759 0.7518  4 Tl 3.28-3.45, 2 Na 3.29-3.30, 6 Sn 3.39-3.45
Sn: 0.0000 0.0000 0.0000  4 Sn 3.24-3.25, 8 Na 3.39-3.45
Na: 0.5000 0.5000 0.0000  4 Na 3.29-3.30, 8 Sn 3.34-3.45
Tl: 0.7470 0.7470 0.4940  4 Na 3.28-3.45, 4 Sn 3.41-3.43, 4 Tl 3.45
Sn: 0.6190 0.1200 0.2399  2 Sn 3.24-3.25, 6 Na 3.34-3.45, 4 Tl 3.41-3.43
Na: 0.1240 0.6241 0.2482  4 Tl 3.28-3.45, 2 Na 3.29-3.30, 6 Sn 3.39-3.45
Tl: 0.2530 0.2530 0.5060  4 Na 3.28-3.45, 4 Sn 3.41-3.43, 4 Tl 3.45

## Properties
Mass density = 6.332 g cm⁻³
Energy = -2.709 eV/atom
Fermi-level density of states = 0.4849 states/eV per atom


No. 9
Cs2TcBr6F: relaxed, PBE.

Lattice parameters (Å, degrees): 7.6105 7.6105 7.8776 61.12 61.12 90.00
Last column: nearest neighbours and their distance in Å.
Fractional positions:
F: 0.5000 0.5000 0.0000  4 Br 2.85
Tc: 0.0000 0.0000 0.0000  6 Br 2.53
Br: 0.7798 0.7798 0.4405  1 Tc 2.53
Br: 0.2202 0.2202 0.5595  1 Tc 2.53
Br: 0.2354 0.2354 0.0000  1 Tc 2.53
Cs: 0.2500 0.7500 0.5000  12 Br 3.82-3.94
Cs: 0.7500 0.2500 0.5000  12 Br 3.82-3.94
Br: 0.7646 0.7646 0.0000  1 Tc 2.53
Br: 0.2354 0.7646 0.0000  1 Tc 2.53
Br: 0.7646 0.2354 0.0000  1 Tc 2.53

## Properties
Mass density = 4.297 g cm⁻³
Energy = -3.383 eV/atom
Fermi-level density of states = 1.5658 states/eV per atom


No. 10
CeDy2Y2Tm: relaxed, PBE.

Lattice parameters (Å, degrees): 3.3429 6.5144 17.6090 90.00 90.00 90.00
Last column: nearest neighbours and their distance in Å.
Fractional positions:
Dy: 0.0000 0.7299 0.8530  1 Ce 3.13, 4 Y 3.30-3.45, 2 Dy 3.34, 2 Tm 3.43
Tm: 0.5000 0.5000 0.0000  2 Tm 3.34, 4 Dy 3.43, 4 Ce 3.66
Dy: 0.5000 0.7701 0.3530  1 Ce 3.13, 4 Y 3.30-3.45, 2 Dy 3.34, 2 Tm 3.43
Y: 0.5000 0.2671 0.3182  4 Dy 3.30-3.45, 2 Y 3.34, 1 Ce 3.54
Y: 0.0000 0.7671 0.1818  4 Dy 3.30-3.45, 2 Y 3.34, 1 Ce 3.54
Dy: 0.5000 0.2299 0.6470  1 Ce 3.13, 4 Y 3.30-3.45, 2 Dy 3.34, 2 Tm 3.43
Y: 0.5000 0.7329 0.6818  4 Dy 3.30-3.45, 2 Y 3.34, 1 Ce 3.54
Y: 0.0000 0.2329 0.8182  4 Dy 3.30-3.45, 2 Y 3.34, 1 Ce 3.54
Ce: 0.5000 0.5000 0.5000  2 Dy 3.13, 2 Ce 3.34
Tm: 0.0000 0.0000 0.5000  2 Tm 3.34, 4 Dy 3.43, 4 Ce 3.66
Dy: 0.0000 0.2701 0.1470  1 Ce 3.13, 4 Y 3.30-3.45, 2 Dy 3.34, 2 Tm 3.43
Ce: 0.0000 0.0000 0.0000  2 Dy 3.13, 2 Ce 3.34

## Properties
Mass density = 7.031 g cm⁻³
Energy = -5.136 eV/atom
Fermi-level density of states = 2.0513 states/eV per atom


No. 11
K2BaZr: relaxed, PBE.

Lattice parameters (Å, degrees): 3.7603 3.7603 13.3371 90.00 90.00 90.27
Last column: nearest neighbours and their distance in Å.
Fractional positions:
Zr: 0.0000 0.0000 0.5154  4 Ba 3.64-3.65, 4 Zr 3.76, 4 K 3.97-3.98
K: 0.5000 0.5000 0.2936  4 K 3.76, 4 Zr 3.97-3.98
Ba: 0.5000 0.5000 0.7022  4 Zr 3.64-3.65, 4 Ba 3.76
K: 0.0000 0.0000 0.9887  4 K 3.76

## Properties
Mass density = 2.701 g cm⁻³
Energy = -2.585 eV/atom
Fermi-level density of states = 1.2522 states/eV per atom
Offset from the most stable computed form = 0.0 meV per atom


No. 12
Tb2Ho2Sb3: relaxed, PBE.

Lattice parameters (Å, degrees): 4.3551 7.3587 7.3726 98.95 90.04 107.27
Last column: nearest neighbours and their distance in Å.
Fractional positions:
Tb: 0.6239 0.2477 0.8648  5 Sb 3.05-3.09
Tb: 0.3761 0.7523 0.1352  5 Sb 3.05-3.09
Ho: 0.8805 0.7599 0.6171  4 Sb 3.03-3.04
Ho: 0.1195 0.2401 0.3829  4 Sb 3.03-3.04
Sb: 0.2574 0.5138 0.7469  3 Ho 3.03-3.04, 3 Tb 3.07-3.09
Sb: 0.7426 0.4862 0.2531  3 Ho 3.03-3.04, 3 Tb 3.07-3.09
Sb: 0.0000 0.0000 0.0000  2 Ho 3.04, 4 Tb 3.05

## Properties
Mass density = 7.556 g cm⁻³
Energy = -5.242 eV/atom
Fermi-level density of states = 0.4470 states/eV per atom
Offset from the most stable computed form = 145.9 meV per atom


No. 13
Ba3CI: relaxed, PBE.

Lattice parameters (Å, degrees): 5.8314 5.8314 5.8314 90.00 90.00 90.00
Last column: nearest neighbours and their distance in Å.
Fractional positions:
I: 0.5000 0.5000 0.5000  12 Ba 4.12
Ba: 0.5000 0.0000 0.0000  2 C 2.92
Ba: 0.0000 0.5000 0.0000  2 C 2.92
Ba: 0.0000 0.0000 0.5000  2 C 2.92
C: 0.0000 0.0000 0.0000  6 Ba 2.92

## Properties
Mass density = 4.613 g cm⁻³
Energy = -3.346 eV/atom
Fermi-level density of states = 1.0266 states/eV per atom
Offset from the most stable computed form = 0.0 meV per atom